Below is a geometry-optimized Nd2GdTa2N6 structure, with properties calculated at the PBE level. Values from VASP.

Summary:
Size of the total moment: 0.000 μB per atom
Total energy: -9.35 eV per atom

```
&SYSTEM
  ibrav = 0, nat = 11, ntyp = 4
/
ATOMIC_SPECIES
Ta 180.95 Ta.upf
Nd 144.24 Nd.upf
N 14.01 N.upf
Gd 157.25 Gd.upf
CELL_PARAMETERS angstrom
-2.013 2.013 9.744
2.013 -2.013 9.744
2.013 2.013 -9.744
ATOMIC_POSITIONS crystal
Ta 0.598 0.598 0.000
Ta 0.402 0.402 0.000
Nd 0.179 0.179 0.000
N 0.581 0.081 0.500
N 0.081 0.581 0.500
N 0.419 0.919 0.500
Gd 0.000 0.000 0.000
N 0.699 0.699 0.000
N 0.919 0.419 0.500
Nd 0.821 0.821 0.000
N 0.301 0.301 0.000
```